A plane-wave DFT calculation with PBE-GGA was carried out for a relaxed structure of NaNpSnBi.

Properties
SG: F-43m
Mass density: 8.75 g cm⁻³
ΔH_f (0 K): 6.0 kJ per mole of atoms
Total magnetic moment: 4.45 μB per formula unit
Total energy: -5.474 eV per atom

The structure in CIF format:
```
data_NaNpSnBi
_chemical_formula_sum 'Na4 Np4 Sn4 Bi4'
_space_group_name_H-M_alt 'P 1'
_space_group_IT_number 1
_cell_length_a 7.641
_cell_length_b 7.641
_cell_length_c 7.641
_cell_angle_alpha 90.00
_cell_angle_beta 90.00
_cell_angle_gamma 90.00
loop_
_space_group_symop_operation_xyz
'x,y,z'
loop_
_atom_site_label
_atom_site_fract_x
_atom_site_fract_y
_atom_site_fract_z
_atom_site_occupancy
Na1 0.000 0.000 0.000 1
Na2 0.000 0.500 0.500 1
Na3 0.500 0.000 0.500 1
Na4 0.500 0.500 0.000 1
Np1 0.000 0.000 0.500 1
Np2 0.000 0.500 0.000 1
Np3 0.500 0.000 0.000 1
Np4 0.500 0.500 0.500 1
Sn1 0.250 0.250 0.250 1
Sn2 0.250 0.750 0.750 1
Sn3 0.750 0.250 0.750 1
Sn4 0.750 0.750 0.250 1
Bi1 0.250 0.250 0.750 1
Bi2 0.250 0.750 0.250 1
Bi3 0.750 0.250 0.250 1
Bi4 0.750 0.750 0.750 1
```

***

A plane-wave DFT calculation with PBE-GGA was carried out for a relaxed structure of Na3LaCl.

Properties
SG: Pm-3m
Mass density: 2.35 g cm⁻³
ΔE_f (raw): -0.200 eV per atom
Total magnetic moment: 0.27 μB per formula unit
Total energy: -2.346 eV per atom

The structure in CIF format:
```
data_Na3LaCl
_chemical_formula_sum 'Na3 La1 Cl1'
_space_group_name_H-M_alt 'P 1'
_space_group_IT_number 1
_cell_length_a 5.563
_cell_length_b 5.563
_cell_length_c 5.563
_cell_angle_alpha 90.00
_cell_angle_beta 90.00
_cell_angle_gamma 90.00
loop_
_space_group_symop_operation_xyz
'x,y,z'
loop_
_atom_site_label
_atom_site_fract_x
_atom_site_fract_y
_atom_site_fract_z
_atom_site_occupancy
Na1 0.000 0.000 0.500 1
Na2 0.000 0.500 0.000 1
Na3 0.500 0.000 0.000 1
La1 0.500 0.500 0.500 1
Cl1 0.000 0.000 0.000 1
```

***

A plane-wave DFT calculation with PBE-GGA was carried out for a relaxed structure of CaY6Ho8.

Properties
SG: R-3
Mass density: 6.54 g cm⁻³
ΔH_f (0 K): 3.4 kJ per mole of atoms
Total magnetic moment: 0.00 μB per formula unit
Total energy: -5.125 eV per atom

The structure in CIF format:
```
data_CaY6Ho8
_chemical_formula_sum 'Ca1 Y6 Ho8'
_space_group_name_H-M_alt 'P 1'
_space_group_IT_number 1
_cell_length_a 14.813
_cell_length_b 14.813
_cell_length_c 14.813
_cell_angle_alpha 24.22
_cell_angle_beta 24.22
_cell_angle_gamma 24.22
loop_
_space_group_symop_operation_xyz
'x,y,z'
loop_
_atom_site_label
_atom_site_fract_x
_atom_site_fract_y
_atom_site_fract_z
_atom_site_occupancy
Ca1 0.000 0.000 0.000 1
Y1 0.068 0.408 0.729 1
Y2 0.271 0.932 0.592 1
Y3 0.408 0.729 0.068 1
Y4 0.592 0.271 0.932 1
Y5 0.729 0.068 0.408 1
Y6 0.932 0.592 0.271 1
Ho1 0.134 0.801 0.467 1
Ho2 0.199 0.533 0.866 1
Ho3 0.333 0.333 0.333 1
Ho4 0.467 0.134 0.801 1
Ho5 0.533 0.866 0.199 1
Ho6 0.667 0.667 0.667 1
Ho7 0.801 0.467 0.134 1
Ho8 0.866 0.199 0.533 1
```

***

A plane-wave DFT calculation with PBE-GGA was carried out for a relaxed structure of Co3C2.

Properties
SG: P-3m1
Mass density: 7.75 g cm⁻³
ΔH_f (0 K): 27.0 kJ per mole of atoms
Total magnetic moment: 0.00 μB per formula unit
Total energy: -7.673 eV per atom

The structure in CIF format:
```
data_Co3C2
_chemical_formula_sum 'Co3 C2'
_space_group_name_H-M_alt 'P 1'
_space_group_IT_number 1
_cell_length_a 3.150
_cell_length_b 3.150
_cell_length_c 5.006
_cell_angle_alpha 90.00
_cell_angle_beta 90.00
_cell_angle_gamma 120.00
loop_
_space_group_symop_operation_xyz
'x,y,z'
loop_
_atom_site_label
_atom_site_fract_x
_atom_site_fract_y
_atom_site_fract_z
_atom_site_occupancy
Co1 0.000 0.000 0.000 1
Co2 0.333 0.667 0.338 1
Co3 0.667 0.333 0.662 1
C1 0.333 0.667 0.757 1
C2 0.667 0.333 0.243 1
```

***

A plane-wave DFT calculation with PBE-GGA was carried out for a relaxed structure of Cu3PtBr2F6.

Properties
SG: C2/m
Mass density: 5.53 g cm⁻³
ΔE_f (raw): -1.022 eV per atom
Total magnetic moment: 1.06 μB per formula unit
Total energy: -3.764 eV per atom

The structure in CIF format:
```
data_Cu3PtBr2F6
_chemical_formula_sum 'Cu3 Pt1 Br2 F6'
_space_group_name_H-M_alt 'P 1'
_space_group_IT_number 1
_cell_length_a 7.286
_cell_length_b 7.286
_cell_length_c 4.909
_cell_angle_alpha 92.20
_cell_angle_beta 92.20
_cell_angle_gamma 49.52
loop_
_space_group_symop_operation_xyz
'x,y,z'
loop_
_atom_site_label
_atom_site_fract_x
_atom_site_fract_y
_atom_site_fract_z
_atom_site_occupancy
Cu1 0.000 0.000 0.000 1
Cu2 0.000 0.500 0.500 1
Cu3 0.500 0.000 0.500 1
Pt1 0.500 0.500 0.500 1
Br1 0.188 0.188 0.168 1
Br2 0.812 0.812 0.832 1
F1 0.207 0.693 0.252 1
F2 0.307 0.793 0.748 1
F3 0.360 0.360 0.642 1
F4 0.640 0.640 0.358 1
F5 0.693 0.207 0.252 1
F6 0.793 0.307 0.748 1
```

***

A plane-wave DFT calculation with PBE-GGA was carried out for a relaxed structure of Ac3SnH.

Properties
SG: Pmma
Mass density: 7.70 g cm⁻³
Total magnetic moment: 0.48 μB per formula unit
Excess energy over the best structure of this formula in the dataset: 0.000 eV per atom
Total energy: -4.305 eV per atom

The structure in CIF format:
```
data_Ac3SnH
_chemical_formula_sum 'Ac6 Sn2 H2'
_space_group_name_H-M_alt 'P 1'
_space_group_IT_number 1
_cell_length_a 6.987
_cell_length_b 4.358
_cell_length_c 11.338
_cell_angle_alpha 90.00
_cell_angle_beta 90.00
_cell_angle_gamma 90.00
loop_
_space_group_symop_operation_xyz
'x,y,z'
loop_
_atom_site_label
_atom_site_fract_x
_atom_site_fract_y
_atom_site_fract_z
_atom_site_occupancy
Ac1 0.000 0.000 0.000 1
Ac2 0.250 0.000 0.400 1
Ac3 0.250 0.500 0.717 1
Ac4 0.500 0.000 0.000 1
Ac5 0.750 0.000 0.600 1
Ac6 0.750 0.500 0.283 1
Sn1 0.250 0.500 0.178 1
Sn2 0.750 0.500 0.822 1
H1 0.250 0.000 0.841 1
H2 0.750 0.000 0.159 1
```

***

A plane-wave DFT calculation with PBE-GGA was carried out for a relaxed structure of LiY2TcPb.

Properties
SG: P4/mmm
Mass density: 4.89 g cm⁻³
ΔH_f (0 K): 18.2 kJ per mole of atoms
Total magnetic moment: 0.00 μB per formula unit
Total energy: -5.595 eV per atom

The structure in CIF format:
```
data_LiY2TcPb
_chemical_formula_sum 'Li1 Y2 Tc1 Pb1'
_space_group_name_H-M_alt 'P 1'
_space_group_IT_number 1
_cell_length_a 5.597
_cell_length_b 5.597
_cell_length_c 5.308
_cell_angle_alpha 90.00
_cell_angle_beta 90.00
_cell_angle_gamma 90.00
loop_
_space_group_symop_operation_xyz
'x,y,z'
loop_
_atom_site_label
_atom_site_fract_x
_atom_site_fract_y
_atom_site_fract_z
_atom_site_occupancy
Li1 0.000 0.000 0.000 1
Y1 0.000 0.500 0.500 1
Y2 0.500 0.000 0.500 1
Tc1 0.500 0.500 0.500 1
Pb1 0.500 0.500 0.000 1
```

***

A plane-wave DFT calculation with PBE-GGA was carried out for a relaxed structure of YAl2Fe.

Properties
SG: R-3m
Mass density: 4.42 g cm⁻³
ΔH_f (0 K): -27.4 kJ per mole of atoms
Total magnetic moment: 0.00 μB per formula unit
Total energy: -5.887 eV per atom

The structure in CIF format:
```
data_YAl2Fe
_chemical_formula_sum 'Y3 Al6 Fe3'
_space_group_name_H-M_alt 'P 1'
_space_group_IT_number 1
_cell_length_a 4.117
_cell_length_b 4.117
_cell_length_c 15.258
_cell_angle_alpha 90.00
_cell_angle_beta 90.00
_cell_angle_gamma 120.00
loop_
_space_group_symop_operation_xyz
'x,y,z'
loop_
_atom_site_label
_atom_site_fract_x
_atom_site_fract_y
_atom_site_fract_z
_atom_site_occupancy
Y1 0.000 0.000 0.000 1
Y2 0.333 0.667 0.667 1
Y3 0.667 0.333 0.333 1
Al1 0.000 0.000 0.206 1
Al2 0.000 0.000 0.794 1
Al3 0.333 0.667 0.461 1
Al4 0.333 0.667 0.872 1
Al5 0.667 0.333 0.128 1
Al6 0.667 0.333 0.539 1
Fe1 0.000 0.000 0.500 1
Fe2 0.333 0.667 0.167 1
Fe3 0.667 0.333 0.833 1
```

***

A plane-wave DFT calculation with PBE-GGA was carried out for a relaxed structure of MgZrCd2.

Properties
SG: P4/mmm
Mass density: 6.57 g cm⁻³
ΔH_f (0 K): -11.6 kJ per mole of atoms
Total magnetic moment: 0.00 μB per formula unit
Total energy: -3.113 eV per atom

The structure in CIF format:
```
data_MgZrCd2
_chemical_formula_sum 'Mg1 Zr1 Cd2'
_space_group_name_H-M_alt 'P 1'
_space_group_IT_number 1
_cell_length_a 4.609
_cell_length_b 4.609
_cell_length_c 4.050
_cell_angle_alpha 90.00
_cell_angle_beta 90.00
_cell_angle_gamma 90.00
loop_
_space_group_symop_operation_xyz
'x,y,z'
loop_
_atom_site_label
_atom_site_fract_x
_atom_site_fract_y
_atom_site_fract_z
_atom_site_occupancy
Mg1 0.000 0.000 0.000 1
Zr1 0.500 0.500 0.000 1
Cd1 0.000 0.500 0.500 1
Cd2 0.500 0.000 0.500 1
```

***

A plane-wave DFT calculation with PBE-GGA was carried out for a relaxed structure of ScTi2Ga8.

Properties
SG: C2/m
Mass density: 5.70 g cm⁻³
ΔH_f (0 K): -15.1 kJ per mole of atoms
Total magnetic moment: 0.00 μB per formula unit
Total energy: -4.369 eV per atom

The structure in CIF format:
```
data_ScTi2Ga8
_chemical_formula_sum 'Sc1 Ti2 Ga8'
_space_group_name_H-M_alt 'P 1'
_space_group_IT_number 1
_cell_length_a 6.883
_cell_length_b 6.883
_cell_length_c 5.192
_cell_angle_alpha 99.53
_cell_angle_beta 99.53
_cell_angle_gamma 118.99
loop_
_space_group_symop_operation_xyz
'x,y,z'
loop_
_atom_site_label
_atom_site_fract_x
_atom_site_fract_y
_atom_site_fract_z
_atom_site_occupancy
Sc1 0.000 0.000 0.000 1
Ti1 0.285 0.715 0.500 1
Ti2 0.715 0.285 0.500 1
Ga1 0.120 0.335 0.685 1
Ga2 0.240 0.760 0.000 1
Ga3 0.335 0.120 0.685 1
Ga4 0.411 0.411 0.241 1
Ga5 0.589 0.589 0.759 1
Ga6 0.665 0.880 0.315 1
Ga7 0.760 0.240 0.000 1
Ga8 0.880 0.665 0.315 1
```

***

A plane-wave DFT calculation with PBE-GGA was carried out for a relaxed structure of ZnAs2.

Properties
SG: Immm
Mass density: 5.62 g cm⁻³
ΔH_f (0 K): 22.7 kJ per mole of atoms
Total magnetic moment: 0.00 μB per formula unit
Total energy: -3.289 eV per atom

The structure in CIF format:
```
data_ZnAs2
_chemical_formula_sum 'Zn2 As4'
_space_group_name_H-M_alt 'P 1'
_space_group_IT_number 1
_cell_length_a 3.244
_cell_length_b 3.618
_cell_length_c 10.834
_cell_angle_alpha 90.00
_cell_angle_beta 90.00
_cell_angle_gamma 90.00
loop_
_space_group_symop_operation_xyz
'x,y,z'
loop_
_atom_site_label
_atom_site_fract_x
_atom_site_fract_y
_atom_site_fract_z
_atom_site_occupancy
Zn1 0.000 0.000 0.000 1
Zn2 0.500 0.500 0.500 1
As1 0.000 0.000 0.384 1
As2 0.000 0.000 0.616 1
As3 0.500 0.500 0.116 1
As4 0.500 0.500 0.884 1
```